Record 1
# TaTe2Se (PBE, relaxed)
data_TaTe2Se
_chemical_formula_sum 'Ta1 Te2 Se1'
_cell_length_a 5.441
_cell_length_b 4.160
_cell_length_c 4.160
_cell_angle_alpha 90.00
_cell_angle_beta 90.00
_cell_angle_gamma 90.00
_symmetry_space_group_name_H-M 'P 1'
_symmetry_Int_Tables_number 1
_symmetry_space_group_name_Hall 'P 1'
loop_
_atom_site_label
_atom_site_type_symbol
_atom_site_fract_x
_atom_site_fract_y
_atom_site_fract_z
Se1 Se 0.500 0.500 0.000
Ta1 Ta 0.500 0.000 0.500
Te1 Te 0.000 0.000 0.000
Te2 Te 0.000 0.500 0.500
# Uncorrected formation energy   64.5 kJ per mole of atoms
# Magnetization   0.82 μB per formula unit
# Mass density   9.08 g/cm³



Record 2
# La3CdO (PBE, relaxed)
data_La3CdO
_chemical_formula_sum 'La6 Cd2 O2'
_cell_length_a 6.752
_cell_length_b 6.752
_cell_length_c 6.752
_cell_angle_alpha 89.96
_cell_angle_beta 89.96
_cell_angle_gamma 89.96
_symmetry_space_group_name_H-M 'P 1'
_symmetry_Int_Tables_number 1
_symmetry_space_group_name_Hall 'P 1'
loop_
_atom_site_label
_atom_site_type_symbol
_atom_site_fract_x
_atom_site_fract_y
_atom_site_fract_z
Cd1 Cd 0.000 0.000 0.000
Cd2 Cd 0.500 0.500 0.500
O1 O 0.250 0.250 0.250
O2 O 0.750 0.750 0.750
La1 La 0.014 0.486 0.250
La2 La 0.486 0.250 0.014
La3 La 0.250 0.014 0.486
La4 La 0.750 0.986 0.514
La5 La 0.514 0.750 0.986
La6 La 0.986 0.514 0.750
# Uncorrected formation energy   -95.5 kJ per mole of atoms
# Offset from the most stable computed form   0.317 eV/atom
# Magnetization   0.00 μB per formula unit
# Mass density   5.88 g/cm³



Record 3
# Pm2HoAu (PBE, relaxed)
data_Pm2HoAu
_chemical_formula_sum 'Pm4 Ho2 Au2'
_cell_length_a 3.770
_cell_length_b 6.466
_cell_length_c 10.006
_cell_angle_alpha 90.00
_cell_angle_beta 90.00
_cell_angle_gamma 106.94
_symmetry_space_group_name_H-M 'P 1'
_symmetry_Int_Tables_number 1
_symmetry_space_group_name_Hall 'P 1'
loop_
_atom_site_label
_atom_site_type_symbol
_atom_site_fract_x
_atom_site_fract_y
_atom_site_fract_z
Pm1 Pm 0.367 0.735 0.553
Pm2 Pm 0.633 0.265 0.447
Pm3 Pm 0.367 0.735 0.947
Pm4 Pm 0.633 0.265 0.053
Ho1 Ho 0.936 0.872 0.250
Ho2 Ho 0.064 0.128 0.750
Au1 Au 0.755 0.510 0.750
Au2 Au 0.245 0.490 0.250
# Energy relative to the elements   -39.3 kJ/mol of atoms
# Offset from the most stable computed form   0.002 eV/atom
# Magnetization   0.00 μB per formula unit
# Mass density   9.28 g/cm³



Record 4
# GdTmPdPt (PBE, relaxed)
data_GdTmPdPt
_chemical_formula_sum 'Gd1 Tm1 Pd1 Pt1'
_cell_length_a 4.944
_cell_length_b 4.944
_cell_length_c 4.944
_cell_angle_alpha 60.00
_cell_angle_beta 60.00
_cell_angle_gamma 60.00
_symmetry_space_group_name_H-M 'P 1'
_symmetry_Int_Tables_number 1
_symmetry_space_group_name_Hall 'P 1'
loop_
_atom_site_label
_atom_site_type_symbol
_atom_site_fract_x
_atom_site_fract_y
_atom_site_fract_z
Gd1 Gd 0.000 0.000 0.000
Tm1 Tm 0.500 0.500 0.500
Pd1 Pd 0.750 0.750 0.750
Pt1 Pt 0.250 0.250 0.250
# Energy relative to the elements   -102.5 kJ/mol of atoms
# Magnetization   7.22 μB per formula unit
# Mass density   12.20 g/cm³



Record 5
# BaSiPd3 (PBE, relaxed)
data_BaSiPd3
_chemical_formula_sum 'Ba2 Si2 Pd6'
_cell_length_a 5.939
_cell_length_b 6.775
_cell_length_c 6.775
_cell_angle_alpha 68.78
_cell_angle_beta 64.00
_cell_angle_gamma 64.00
_symmetry_space_group_name_H-M 'P 1'
_symmetry_Int_Tables_number 1
_symmetry_space_group_name_Hall 'P 1'
loop_
_atom_site_label
_atom_site_type_symbol
_atom_site_fract_x
_atom_site_fract_y
_atom_site_fract_z
Ba1 Ba 0.750 0.311 0.189
Ba2 Ba 0.250 0.689 0.811
Si1 Si 0.000 0.500 0.500
Si2 Si 0.500 0.000 0.000
Pd1 Pd 0.788 0.212 0.712
Pd2 Pd 0.288 0.212 0.712
Pd3 Pd 0.712 0.788 0.288
Pd4 Pd 0.212 0.788 0.288
Pd5 Pd 0.750 0.842 0.658
Pd6 Pd 0.250 0.158 0.342
# Uncorrected formation energy   -63.7 kJ per mole of atoms
# Offset from the most stable computed form   0.000 eV/atom
# Magnetization   0.00 μB per formula unit
# Mass density   7.48 g/cm³



Record 6
# TaSi2Tc (PBE, relaxed)
data_TaSi2Tc
_chemical_formula_sum 'Ta1 Si2 Tc1'
_cell_length_a 4.402
_cell_length_b 4.402
_cell_length_c 4.402
_cell_angle_alpha 60.00
_cell_angle_beta 60.00
_cell_angle_gamma 60.00
_symmetry_space_group_name_H-M 'P 1'
_symmetry_Int_Tables_number 1
_symmetry_space_group_name_Hall 'P 1'
loop_
_atom_site_label
_atom_site_type_symbol
_atom_site_fract_x
_atom_site_fract_y
_atom_site_fract_z
Si1 Si 0.000 0.000 0.000
Si2 Si 0.750 0.750 0.750
Ta1 Ta 0.500 0.500 0.500
Tc1 Tc 0.250 0.250 0.250
# Uncorrected formation energy   -3.8 kJ per mole of atoms
# Offset from the most stable computed form   0.453 eV/atom
# Magnetization   0.00 μB per formula unit
# Mass density   9.22 g/cm³



Record 7
# Th3Mg4 (PBE, relaxed)
data_Th3Mg4
_chemical_formula_sum 'Th3 Mg4'
_cell_length_a 3.413
_cell_length_b 3.413
_cell_length_c 16.784
_cell_angle_alpha 95.84
_cell_angle_beta 95.84
_cell_angle_gamma 90.00
_symmetry_space_group_name_H-M 'P 1'
_symmetry_Int_Tables_number 1
_symmetry_space_group_name_Hall 'P 1'
loop_
_atom_site_label
_atom_site_type_symbol
_atom_site_fract_x
_atom_site_fract_y
_atom_site_fract_z
Th1 Th 0.000 0.000 0.000
Th2 Th 0.709 0.709 0.418
Th3 Th 0.291 0.291 0.582
Mg1 Mg 0.866 0.866 0.733
Mg2 Mg 0.134 0.134 0.267
Mg3 Mg 0.574 0.574 0.148
Mg4 Mg 0.426 0.426 0.852
# Energy relative to the elements   3.3 kJ/mol of atoms
# Magnetization   0.00 μB per formula unit
# Mass density   6.81 g/cm³



Record 8
# NaSmSe2O8 (PBE, relaxed)
data_NaSmSe2O8
_chemical_formula_sum 'Na1 Sm1 Se2 O8'
_cell_length_a 5.144
_cell_length_b 5.144
_cell_length_c 6.897
_cell_angle_alpha 111.90
_cell_angle_beta 111.90
_cell_angle_gamma 90.00
_symmetry_space_group_name_H-M 'P 1'
_symmetry_Int_Tables_number 1
_symmetry_space_group_name_Hall 'P 1'
loop_
_atom_site_label
_atom_site_type_symbol
_atom_site_fract_x
_atom_site_fract_y
_atom_site_fract_z
Na1 Na 0.750 0.250 0.500
Sm1 Sm 0.000 0.000 0.000
Se1 Se 0.500 0.500 0.000
Se2 Se 0.250 0.750 0.500
O1 O 0.710 0.817 0.149
O2 O 0.439 0.332 0.149
O3 O 0.570 0.703 0.659
O4 O 0.088 0.955 0.659
O5 O 0.045 0.430 0.341
O6 O 0.297 0.912 0.341
O7 O 0.183 0.561 0.851
O8 O 0.668 0.290 0.851
# Uncorrected formation energy   -143.6 kJ per mole of atoms
# Magnetization   0.00 μB per formula unit
# Mass density   4.92 g/cm³



Record 9
# UMnBe17 (PBE, relaxed)
data_UMnBe17
_chemical_formula_sum 'U1 Mn1 Be17'
_cell_length_a 5.678
_cell_length_b 5.678
_cell_length_c 5.678
_cell_angle_alpha 83.14
_cell_angle_beta 83.14
_cell_angle_gamma 83.14
_symmetry_space_group_name_H-M 'P 1'
_symmetry_Int_Tables_number 1
_symmetry_space_group_name_Hall 'P 1'
loop_
_atom_site_label
_atom_site_type_symbol
_atom_site_fract_x
_atom_site_fract_y
_atom_site_fract_z
U1 U 0.342 0.342 0.342
Mn1 Mn 0.667 0.667 0.667
Be1 Be 0.292 0.994 0.712
Be2 Be 0.712 0.292 0.994
Be3 Be 0.994 0.712 0.292
Be4 Be 0.292 0.712 0.994
Be5 Be 0.994 0.292 0.712
Be6 Be 0.712 0.994 0.292
Be7 Be 0.346 0.840 0.346
Be8 Be 0.346 0.346 0.840
Be9 Be 0.840 0.346 0.346
Be10 Be 0.659 0.142 0.659
Be11 Be 0.659 0.659 0.142
Be12 Be 0.142 0.659 0.659
Be13 Be 0.006 0.495 0.006
Be14 Be 0.006 0.006 0.495
Be15 Be 0.495 0.006 0.006
Be16 Be 0.899 0.899 0.899
Be17 Be 0.095 0.095 0.095
# Energy relative to the elements   2.1 kJ/mol of atoms
# Magnetization   1.11 μB per formula unit
# Mass density   4.13 g/cm³



Record 10
# TaWAu2 (PBE, relaxed)
data_TaWAu2
_chemical_formula_sum 'Ta1 W1 Au2'
_cell_length_a 2.843
_cell_length_b 2.843
_cell_length_c 8.499
_cell_angle_alpha 90.00
_cell_angle_beta 90.00
_cell_angle_gamma 90.00
_symmetry_space_group_name_H-M 'P 1'
_symmetry_Int_Tables_number 1
_symmetry_space_group_name_Hall 'P 1'
loop_
_atom_site_label
_atom_site_type_symbol
_atom_site_fract_x
_atom_site_fract_y
_atom_site_fract_z
Au1 Au 0.000 0.000 0.999
Au2 Au 0.000 0.000 0.501
Ta1 Ta 0.500 0.500 0.250
W1 W 0.500 0.500 0.750
# Energy relative to the elements   23.8 kJ/mol of atoms
# Offset from the most stable computed form   0.175 eV/atom
# Magnetization   0.00 μB per formula unit
# Mass density   18.35 g/cm³



Record 11
# TiMn2Te4 (PBE, relaxed)
data_TiMn2Te4
_chemical_formula_sum 'Ti1 Mn2 Te4'
_cell_length_a 3.968
_cell_length_b 7.068
_cell_length_c 7.377
_cell_angle_alpha 119.08
_cell_angle_beta 105.60
_cell_angle_gamma 90.00
_symmetry_space_group_name_H-M 'P 1'
_symmetry_Int_Tables_number 1
_symmetry_space_group_name_Hall 'P 1'
loop_
_atom_site_label
_atom_site_type_symbol
_atom_site_fract_x
_atom_site_fract_y
_atom_site_fract_z
Ti1 Ti 0.000 0.000 0.000
Mn1 Mn 0.750 0.779 0.500
Mn2 Mn 0.250 0.221 0.500
Te1 Te 0.885 0.224 0.771
Te2 Te 0.115 0.776 0.229
Te3 Te 0.631 0.299 0.262
Te4 Te 0.369 0.701 0.738
# Uncorrected formation energy   -35.9 kJ per mole of atoms
# Magnetization   8.04 μB per formula unit
# Mass density   6.45 g/cm³



Record 12
# Cs2BaNdCl6 (PBE, relaxed)
data_Cs2BaNdCl6
_chemical_formula_sum 'Cs4 Ba2 Nd2 Cl12'
_cell_length_a 7.818
_cell_length_b 8.730
_cell_length_c 11.652
_cell_angle_alpha 90.00
_cell_angle_beta 90.00
_cell_angle_gamma 90.00
_symmetry_space_group_name_H-M 'P 1'
_symmetry_Int_Tables_number 1
_symmetry_space_group_name_Hall 'P 1'
loop_
_atom_site_label
_atom_site_type_symbol
_atom_site_fract_x
_atom_site_fract_y
_atom_site_fract_z
Cs1 Cs 0.500 0.797 0.219
Cs2 Cs 0.000 0.203 0.719
Cs3 Cs 0.500 0.797 0.781
Cs4 Cs 0.000 0.203 0.281
Ba1 Ba 0.000 0.722 0.500
Ba2 Ba 0.500 0.278 0.000
Nd1 Nd 0.500 0.226 0.500
Nd2 Nd 0.000 0.774 0.000
Cl1 Cl 0.500 0.218 0.259
Cl2 Cl 0.500 0.218 0.741
Cl3 Cl 0.000 0.782 0.241
Cl4 Cl 0.000 0.782 0.759
Cl5 Cl 0.258 0.989 0.500
Cl6 Cl 0.742 0.989 0.500
Cl7 Cl 0.248 0.452 0.500
Cl8 Cl 0.752 0.452 0.500
Cl9 Cl 0.748 0.548 0.000
Cl10 Cl 0.252 0.548 0.000
Cl11 Cl 0.242 0.011 0.000
Cl12 Cl 0.758 0.011 0.000
# Uncorrected formation energy   -200.6 kJ per mole of atoms
# Magnetization   0.88 μB per formula unit
# Mass density   3.17 g/cm³